## V3FeS8 (PBE-GGA)

Data for crystalline V3FeS8 at its relaxed geometry.

Cell lengths 6.4808, 6.4808, 11.2003 Å; angles 90.00, 90.00, 120.00 degrees
Space group P6_3mc (No. 186)
Symmetry-distinct sites (fractional):
V 0.1656 0.3313 0.0000 [6 per cell]
Fe 0.3333 0.6667 0.2721 [2 per cell]
S 0.0000 0.0000 0.1286 [2 per cell]
S 0.0271 0.5135 0.1385 [6 per cell]
S 0.1736 0.3473 0.3863 [6 per cell]
S 0.3333 0.6667 0.8731 [2 per cell]

Properties
ΔE_f (raw) ... -665 meV per atom
Fermi-level density of states ... 5.64 states/eV/f.u.